(1)
# Nd2ThCr2N6, optimized geometry, DFT GGA-PBE
data_Nd2ThCr2N6
_symmetry_space_group_name_H-M 'R -3 m'
_symmetry_Int_Tables_number 166
_symmetry_space_group_name_Hall '-R 3 2"'
_cell_length_a 5.6951
_cell_length_b 5.6951
_cell_length_c 18.1298
_cell_angle_alpha 90.00
_cell_angle_beta 90.00
_cell_angle_gamma 120.00
loop_
_atom_site_label
_atom_site_type_symbol
_atom_site_fract_x
_atom_site_fract_y
_atom_site_fract_z
_atom_site_occupancy
Nd1 Nd 0.0000 0.0000 0.2076 1
Th1 Th 0.0000 0.0000 0.0000 1
Cr1 Cr 0.0000 0.0000 0.4081 1
N1 N 0.0022 0.5011 0.7641 1
# * total energy: -8.711 eV per atom
# * magnetic moment: 0.00 μB/f.u.
# * density of states at the Fermi level: 3.58 states/eV per cell

(2)
# KB2Pd2, optimized geometry, DFT GGA-PBE
data_KB2Pd2
_symmetry_space_group_name_H-M 'I 4/m m m'
_symmetry_Int_Tables_number 139
_symmetry_space_group_name_Hall '-I 4 2'
_cell_length_a 4.247
_cell_length_b 4.247
_cell_length_c 11.987
_cell_angle_alpha 90.00
_cell_angle_beta 90.00
_cell_angle_gamma 90.00
loop_
_atom_site_label
_atom_site_type_symbol
_atom_site_fract_x
_atom_site_fract_y
_atom_site_fract_z
_atom_site_occupancy
K1 K 0.000 0.000 0.000 1
B1 B 0.000 0.500 0.250 1
Pd1 Pd 0.000 0.000 0.261 1
# * total energy: -4.754 eV per atom
# * ΔE_f: 0.21 eV per atom
# * magnetic moment: 0.00 μB/f.u.
# * relative energy among the computed polymorphs: 0 meV per atom
# * density of states at the Fermi level: 5.39 states/eV per cell

(3)
# TbCd2Ni9, optimized geometry, DFT GGA-PBE
data_TbCd2Ni9
_symmetry_space_group_name_H-M 'R -3 m'
_symmetry_Int_Tables_number 166
_symmetry_space_group_name_Hall '-R 3 2"'
_cell_length_a 4.9010
_cell_length_b 4.9010
_cell_length_c 23.7540
_cell_angle_alpha 90.00
_cell_angle_beta 90.00
_cell_angle_gamma 120.00
loop_
_atom_site_label
_atom_site_type_symbol
_atom_site_fract_x
_atom_site_fract_y
_atom_site_fract_z
_atom_site_occupancy
Tb1 Tb 0.0000 0.0000 0.0000 1
Cd1 Cd 0.0000 0.0000 0.1430 1
Ni1 Ni 0.0000 0.0000 0.3337 1
Ni2 Ni 0.0000 0.0000 0.5000 1
Ni3 Ni 0.0016 0.5008 0.9169 1
# * total energy: -5.039 eV per atom
# * ΔE_f: -0.16 eV per atom
# * magnetic moment: 3.38 μB/f.u.
# * density of states at the Fermi level: 40.44 states/eV per cell

(4)
# NaCu2Cl2, optimized geometry, DFT GGA-PBE
data_NaCu2Cl2
_symmetry_space_group_name_H-M 'I 4/m m m'
_symmetry_Int_Tables_number 139
_symmetry_space_group_name_Hall '-I 4 2'
_cell_length_a 3.533
_cell_length_b 3.533
_cell_length_c 15.159
_cell_angle_alpha 90.00
_cell_angle_beta 90.00
_cell_angle_gamma 90.00
loop_
_atom_site_label
_atom_site_type_symbol
_atom_site_fract_x
_atom_site_fract_y
_atom_site_fract_z
_atom_site_occupancy
Na1 Na 0.000 0.000 0.000 1
Cu1 Cu 0.000 0.500 0.250 1
Cl1 Cl 0.000 0.000 0.393 1
# * total energy: -3.064 eV per atom
# * magnetic moment: 0.00 μB/f.u.
# * relative energy among the computed polymorphs: 0 meV per atom
# * density of states at the Fermi level: 4.34 states/eV per cell

(5)
# ReRh, optimized geometry, DFT GGA-PBE
data_ReRh
_symmetry_space_group_name_H-M 'P 63/m m c'
_symmetry_Int_Tables_number 194
_symmetry_space_group_name_Hall '-P 6c 2c'
_cell_length_a 3.9565
_cell_length_b 3.9565
_cell_length_c 5.0666
_cell_angle_alpha 90.00
_cell_angle_beta 90.00
_cell_angle_gamma 120.00
loop_
_atom_site_label
_atom_site_type_symbol
_atom_site_fract_x
_atom_site_fract_y
_atom_site_fract_z
_atom_site_occupancy
Re1 Re 0.0000 0.0000 0.0000 1
Rh1 Rh 0.3333 0.6667 0.2500 1
# * total energy: -9.165 eV per atom
# * ΔE_f: 0.73 eV per atom
# * magnetic moment: 0.00 μB/f.u.
# * relative energy among the computed polymorphs: 912 meV per atom
# * density of states at the Fermi level: 5.65 states/eV per cell

(6)
# LiPr2Os, optimized geometry, DFT GGA-PBE
data_LiPr2Os
_symmetry_space_group_name_H-M 'P 4/m m m'
_symmetry_Int_Tables_number 123
_symmetry_space_group_name_Hall '-P 4 2'
_cell_length_a 3.529
_cell_length_b 3.529
_cell_length_c 8.522
_cell_angle_alpha 90.00
_cell_angle_beta 90.00
_cell_angle_gamma 90.00
loop_
_atom_site_label
_atom_site_type_symbol
_atom_site_fract_x
_atom_site_fract_y
_atom_site_fract_z
_atom_site_occupancy
Li1 Li 0.000 0.000 0.000 1
Pr1 Pr 0.500 0.500 0.295 1
Os1 Os 0.000 0.000 0.500 1
# * total energy: -5.637 eV per atom
# * ΔE_f: 0.04 eV per atom
# * magnetic moment: 0.00 μB/f.u.
# * relative energy among the computed polymorphs: 79 meV per atom
# * density of states at the Fermi level: 3.33 states/eV per cell

(7)
# LuPaSb, optimized geometry, DFT GGA-PBE
data_LuPaSb
_symmetry_space_group_name_H-M 'P 3 m 1'
_symmetry_Int_Tables_number 156
_cell_length_a 5.2078
_cell_length_b 5.2078
_cell_length_c 3.4307
_cell_angle_alpha 90.00
_cell_angle_beta 90.00
_cell_angle_gamma 120.00
loop_
_symmetry_equiv_pos_as_xyz
'x,y,z'
'-y,x-y,z'
'-x+y,-x,z'
'-y,-x,z'
'-x+y,y,z'
'x,x-y,z'
loop_
_atom_site_label
_atom_site_type_symbol
_atom_site_fract_x
_atom_site_fract_y
_atom_site_fract_z
_atom_site_occupancy
Lu1 Lu 0.0000 0.0000 0.0000 1
Pa1 Pa 0.3333 0.6667 0.4869 1
Sb1 Sb 0.6667 0.3333 0.8398 1
# * total energy: -6.121 eV per atom
# * magnetic moment: 1.35 μB/f.u.
# * relative energy among the computed polymorphs: 172 meV per atom
# * density of states at the Fermi level: 5.99 states/eV per cell

(8)
# PaCdSiO6, optimized geometry, DFT GGA-PBE
data_PaCdSiO6
_symmetry_space_group_name_H-M 'P 3 1 2'
_symmetry_Int_Tables_number 149
_cell_length_a 5.2256
_cell_length_b 5.2256
_cell_length_c 4.6842
_cell_angle_alpha 90.00
_cell_angle_beta 90.00
_cell_angle_gamma 120.00
loop_
_symmetry_equiv_pos_as_xyz
'x,y,z'
'-y,x-y,z'
'-x+y,-x,z'
'-y,-x,-z'
'-x+y,y,-z'
'x,x-y,-z'
loop_
_atom_site_label
_atom_site_type_symbol
_atom_site_fract_x
_atom_site_fract_y
_atom_site_fract_z
_atom_site_occupancy
Pa1 Pa 0.0000 0.0000 0.0000 1
Cd1 Cd 0.3333 0.6667 0.5000 1
Si1 Si 0.6667 0.3333 0.5000 1
O1 O 0.3724 0.0647 0.7263 1
# * total energy: -7.376 eV per atom
# * magnetic moment: 0.83 μB/f.u.
# * density of states at the Fermi level: 7.04 states/eV per cell